Entry 1:
Computed, not measured: a relaxed structure of Ac3SmSe6 at the GGA-PBE level of DFT.

Cell lengths 7.4162, 8.0866, 13.1348 Å; angles 90.00, 122.91, 90.00 degrees
Space group P2_1/c (No. 14)
One atom of each set of equivalent atoms:
Ac  0.0000  0.0000  0.0000 [2 per cell]
Ac  0.2912  0.0918  0.7533 [4 per cell]
Sm  0.5000  0.0000  0.5000 [2 per cell]
Se  0.1064  0.0625  0.2594 [4 per cell]
Se  0.2671  0.6832  0.0794 [4 per cell]
Se  0.4065  0.1923  0.0775 [4 per cell]

## Properties
As for the density of states at the Fermi level: 0.00 states/eV per cell. The calculation puts the size of the total moment at 0.000 μB per formula unit. The calculation puts the energy relative to the elements, uncorrected at -1.95 eV per atom. The energy above the most stable polymorph in this dataset is 0.28 eV per formula unit. For the total energy, the calculation gives -0.211 Ha/atom.

Entry 2:
Computed, not measured: a relaxed structure of AcSm3Se6 at the GGA-PBE level of DFT.

Cell lengths 11.8880, 4.2917, 12.2210 Å; angles 90.00, 108.95, 90.00 degrees
Space group P2_1/m (No. 11)
One atom of each set of equivalent atoms:
Ac  0.0511  0.2500  0.1957 [2 per cell]
Sm  0.1598  0.2500  0.5880 [2 per cell]
Sm  0.3211  0.7500  0.9997 [2 per cell]
Sm  0.4456  0.2500  0.3335 [2 per cell]
Se  0.0847  0.7500  0.4077 [2 per cell]
Se  0.1215  0.2500  0.9643 [2 per cell]
Se  0.1979  0.7500  0.7497 [2 per cell]
Se  0.2688  0.7500  0.2297 [2 per cell]
Se  0.3918  0.2500  0.5549 [2 per cell]
Se  0.4809  0.2500  0.1120 [2 per cell]

## Properties
The calculation puts the size of the total moment at 0.000 μB per formula unit. The calculation puts the energy relative to the elements, uncorrected at -1.94 eV per atom. For the total energy, the calculation gives -0.215 Ha/atom.

Entry 3:
Computed, not measured: a relaxed structure of AcSmSe3 at the GGA-PBE level of DFT.

Cell lengths 15.7063, 4.2674, 9.3368 Å; angles 90.00, 92.65, 90.00 degrees
Space group C2/m (No. 12)
One atom of each set of equivalent atoms:
Ac  0.1147  0.0000  0.0874 [4 per cell]
Sm  0.1716  0.5000  0.6345 [4 per cell]
Se  0.0368  0.5000  0.8358 [4 per cell]
Se  0.1427  0.0000  0.4330 [4 per cell]
Se  0.2438  0.0000  0.8345 [4 per cell]

## Properties
The calculation puts the size of the total moment at 0.000 μB per formula unit. The calculation puts the energy relative to the elements, uncorrected at -1.91 eV per atom. The energy above the most stable polymorph in this dataset is 0.30 eV per formula unit. For the total energy, the calculation gives -0.212 Ha/atom.

Entry 4:
Computed, not measured: a relaxed structure of AcSmSe at the GGA-PBE level of DFT.

Cell lengths 3.7991, 3.7991, 13.3242 Å; angles 90.00, 90.00, 90.00 degrees
Space group I4mm (No. 107)
One atom of each set of equivalent atoms:
Ac  0.0000  0.0000  0.0000 [2 per cell]
Sm  0.0000  0.0000  0.2756 [2 per cell]
Se  0.0000  0.0000  0.6541 [2 per cell]

## Properties
As for the density of states at the Fermi level: 8.79 states/eV per cell. The calculation puts the size of the total moment at 0.001 μB per formula unit. The calculation puts the energy relative to the elements, uncorrected at -0.93 eV per atom. The energy above the most stable polymorph in this dataset is 0.41 eV per formula unit. For the total energy, the calculation gives -0.185 Ha/atom.

Entry 5:
Computed, not measured: a relaxed structure of Ac4Sm3Se8 at the GGA-PBE level of DFT.

Cell lengths 8.2862, 8.2862, 24.8846 Å; angles 90.00, 90.00, 120.00 degrees
Space group R-3m (No. 166, hexagonal axes)
One atom of each set of equivalent atoms:
Ac  0.0000  0.0000  0.0000 [3 per cell]
Ac  0.0000  0.0000  0.1536 [6 per cell]
Ac  0.0000  0.0000  0.5000 [3 per cell]
Sm  0.0000  0.5000  0.0000 [9 per cell]
Se  0.0000  0.0000  0.2714 [6 per cell]
Se  0.0096  0.5048  0.2561 [18 per cell]

## Properties
As for the density of states at the Fermi level: 25.59 states/eV per cell. The calculation puts the size of the total moment at 0.000 μB per formula unit. The calculation puts the energy relative to the elements, uncorrected at -1.66 eV per atom. For the total energy, the calculation gives -0.204 Ha/atom.

Entry 6:
Computed, not measured: a relaxed structure of AcSm4Se5 at the GGA-PBE level of DFT.

Cell lengths 14.0700, 4.2228, 10.3881 Å; angles 90.00, 119.70, 90.00 degrees
Space group C2/m (No. 12)
One atom of each set of equivalent atoms:
Ac  0.0000  0.0000  0.0000 [2 per cell]
Sm  0.0964  0.5000  0.3986 [4 per cell]
Sm  0.2016  0.0000  0.7924 [4 per cell]
Se  0.0000  0.0000  0.5000 [2 per cell]
Se  0.1091  0.5000  0.8955 [4 per cell]
Se  0.2034  0.0000  0.3120 [4 per cell]

## Properties
As for the density of states at the Fermi level: 9.75 states/eV per cell. The calculation puts the size of the total moment at 0.000 μB per formula unit. The calculation puts the energy relative to the elements, uncorrected at -1.82 eV per atom. For the total energy, the calculation gives -0.215 Ha/atom.

Entry 7:
Computed, not measured: a relaxed structure of AcSmSe2 at the GGA-PBE level of DFT.

Cell lengths 7.4747, 7.4747, 7.4747 Å; angles 90.00, 90.00, 90.00 degrees
Space group Fm-3m (No. 225)
One atom of each set of equivalent atoms:
Ac  0.0000  0.0000  0.0000 [4 per cell]
Sm  0.0000  0.0000  0.5000 [4 per cell]
Se  0.2500  0.2500  0.2500 [8 per cell]

## Properties
As for the density of states at the Fermi level: 10.54 states/eV per cell. The calculation puts the size of the total moment at 0.001 μB per formula unit. The calculation puts the energy relative to the elements, uncorrected at -1.60 eV per atom. The energy above the most stable polymorph in this dataset is 0.91 eV per formula unit. For the total energy, the calculation gives -0.204 Ha/atom.

Entry 8:
Computed, not measured: a relaxed structure of AcSmSe2 at the GGA-PBE level of DFT.

Cell lengths 4.2792, 4.2792, 27.8083 Å; angles 90.00, 90.00, 120.00 degrees
Space group R-3m (No. 166, hexagonal axes)
One atom of each set of equivalent atoms:
Ac  0.0000  0.0000  0.0000 [3 per cell]
Sm  0.0000  0.0000  0.5000 [3 per cell]
Se  0.0000  0.0000  0.1096 [6 per cell]

## Properties
As for the density of states at the Fermi level: 6.82 states/eV per cell. The calculation puts the size of the total moment at 0.000 μB per formula unit. The calculation puts the energy relative to the elements, uncorrected at -1.47 eV per atom. The energy above the most stable polymorph in this dataset is 1.41 eV per formula unit. For the total energy, the calculation gives -0.199 Ha/atom.

Entry 9:
Computed, not measured: a relaxed structure of Ac2Sm3Se8 at the GGA-PBE level of DFT.

Cell lengths 14.9655, 8.6871, 7.2601 Å; angles 90.00, 109.77, 90.00 degrees
Space group C2/m (No. 12)
One atom of each set of equivalent atoms:
Ac  0.2335  0.0000  0.1574 [4 per cell]
Sm  0.0000  0.2378  0.5000 [4 per cell]
Sm  0.0000  0.5000  0.0000 [2 per cell]
Se  0.1118  0.5000  0.4217 [4 per cell]
Se  0.1186  0.2700  0.9099 [8 per cell]
Se  0.1240  0.0000  0.4486 [4 per cell]

## Properties
As for the density of states at the Fermi level: 15.33 states/eV per cell. The calculation puts the size of the total moment at 0.000 μB per formula unit. The calculation puts the energy relative to the elements, uncorrected at -1.78 eV per atom. For the total energy, the calculation gives -0.207 Ha/atom.

Entry 10:
Computed, not measured: a relaxed structure of AcSmSe2 at the GGA-PBE level of DFT.

Cell lengths 4.2541, 4.2541, 14.6179 Å; angles 90.00, 90.00, 120.00 degrees
Space group P6_3/mmc (No. 194)
One atom of each set of equivalent atoms:
Ac  0.3333  0.6667  0.2500 [2 per cell]
Sm  0.0000  0.0000  0.0000 [2 per cell]
Se  0.3333  0.6667  0.6139 [4 per cell]

## Properties
As for the density of states at the Fermi level: 4.18 states/eV per cell. The calculation puts the size of the total moment at 0.000 μB per formula unit. The calculation puts the energy relative to the elements, uncorrected at -1.82 eV per atom. The energy above the most stable polymorph in this dataset is 0.00 eV per formula unit. For the total energy, the calculation gives -0.212 Ha/atom.

Which formula does entry 2 have? AcSm3Se6

Which of these has the lowest energy relative to the elements, uncorrected? Ac3SmSe6

Please write out number 2 again, unchanged.
Computed, not measured: a relaxed structure of AcSm3Se6 at the GGA-PBE level of DFT.

Cell lengths 11.8880, 4.2917, 12.2210 Å; angles 90.00, 108.95, 90.00 degrees
Space group P2_1/m (No. 11)
One atom of each set of equivalent atoms:
Ac  0.0511  0.2500  0.1957 [2 per cell]
Sm  0.1598  0.2500  0.5880 [2 per cell]
Sm  0.3211  0.7500  0.9997 [2 per cell]
Sm  0.4456  0.2500  0.3335 [2 per cell]
Se  0.0847  0.7500  0.4077 [2 per cell]
Se  0.1215  0.2500  0.9643 [2 per cell]
Se  0.1979  0.7500  0.7497 [2 per cell]
Se  0.2688  0.7500  0.2297 [2 per cell]
Se  0.3918  0.2500  0.5549 [2 per cell]
Se  0.4809  0.2500  0.1120 [2 per cell]

## Properties
The calculation puts the size of the total moment at 0.000 μB per formula unit. The calculation puts the energy relative to the elements, uncorrected at -1.94 eV per atom. For the total energy, the calculation gives -0.215 Ha/atom.